# 1
Material: ReNiBP2
Method: DFT, PBE
State: relaxed

POSCAR file:
```
ReNiBP2
1.0
7.708 0.000 0.000
0.000 3.066 0.000
-3.309 0.000 5.444
Re Ni B P
2 2 2 4
Direct
0.000 0.000 0.000 Re
0.500 0.500 0.000 Re
0.413 0.000 0.320 Ni
0.913 0.500 0.320 Ni
0.261 0.000 0.941 B
0.761 0.500 0.941 B
0.090 0.500 0.740 P
0.207 0.500 0.338 P
0.590 0.000 0.740 P
0.707 0.000 0.338 P
```

Properties
* total moment: 0.00 μB per formula unit
* uncorrected energy: -0.535 Ry/atom
* formation energy from the elements: -0.13 eV per atom
* ΔE to the lowest computed polymorph: 0.00 eV/f.u.
* space-group type: Cm, No. 8

***

# 2
Material: MgTaZnI2
Method: DFT, PBE
State: relaxed

POSCAR file:
```
MgTaZnI2
1.0
5.463 0.000 0.000
0.000 5.463 0.000
0.000 0.000 5.399
Mg Ta Zn I
1 1 1 2
Direct
0.000 0.000 0.000 Mg
0.500 0.500 0.500 Ta
0.500 0.500 0.000 Zn
0.000 0.500 0.500 I
0.500 0.000 0.500 I
```

Properties
* total moment: 0.00 μB per formula unit
* uncorrected energy: -0.223 Ry/atom
* space-group type: P4/mmm, No. 123

***

# 3
Material: Ca3GePb
Method: DFT, PBE
State: relaxed

POSCAR file:
```
Ca3GePb
1.0
5.910 0.000 0.000
0.000 5.910 0.000
0.000 0.000 5.910
Ca Ge Pb
3 1 1
Direct
0.000 0.000 0.500 Ca
0.000 0.500 0.000 Ca
0.500 0.000 0.000 Ca
0.500 0.500 0.500 Ge
0.000 0.000 0.000 Pb
```

Properties
* total moment: 1.32 μB per formula unit
* uncorrected energy: -0.201 Ry/atom
* formation energy from the elements: 0.13 eV per atom
* ΔE to the lowest computed polymorph: 2.25 eV/f.u.
* space-group type: Pm-3m, No. 221